# 1
The following is a DFT calculation (PBE-GGA) of an optimized crystal structure of PrAgSe2O8.

Cell and atoms, written as CIF:
```
data_PrAgSe2O8
_cell_length_a 5.831
_cell_length_b 5.831
_cell_length_c 7.071
_cell_angle_alpha 90.00
_cell_angle_beta 90.00
_cell_angle_gamma 120.00
_space_group_name_H-M_alt 'P 1'
_space_group_IT_number 1
loop_
_space_group_symop_operation_xyz
'x,y,z'
loop_
_atom_site_label
_atom_site_fract_x
_atom_site_fract_y
_atom_site_fract_z
Pr1 0.000 0.000 0.000
Ag1 0.000 0.000 0.500
Se1 0.333 0.667 0.305
Se2 0.667 0.333 0.695
O1 0.177 0.356 0.217
O2 0.179 0.823 0.217
O3 0.333 0.667 0.536
O4 0.356 0.179 0.783
O5 0.644 0.821 0.217
O6 0.667 0.333 0.464
O7 0.821 0.177 0.783
O8 0.823 0.644 0.783
```

The value obtained for the electronic total energy is -5.6939 eV per atom.

---

# 2
The following is a DFT calculation (PBE-GGA) of an optimized crystal structure of PrSi2AgO6.

Cell and atoms, written as CIF:
```
data_PrSi2AgO6
_cell_length_a 6.769
_cell_length_b 6.769
_cell_length_c 6.957
_cell_angle_alpha 98.14
_cell_angle_beta 98.14
_cell_angle_gamma 112.43
_space_group_name_H-M_alt 'P 1'
_space_group_IT_number 1
loop_
_space_group_symop_operation_xyz
'x,y,z'
loop_
_atom_site_label
_atom_site_fract_x
_atom_site_fract_y
_atom_site_fract_z
Pr1 0.093 0.907 0.750
Pr2 0.907 0.093 0.250
Si1 0.003 0.332 0.874
Si2 0.332 0.003 0.374
Si3 0.668 0.997 0.626
Si4 0.997 0.668 0.126
Ag1 0.492 0.508 0.750
Ag2 0.508 0.492 0.250
O1 0.021 0.435 0.146
O2 0.093 0.797 0.392
O3 0.203 0.907 0.108
O4 0.233 0.298 0.900
O5 0.298 0.233 0.400
O6 0.435 0.021 0.646
O7 0.565 0.979 0.354
O8 0.702 0.767 0.600
O9 0.767 0.702 0.100
O10 0.797 0.093 0.892
O11 0.907 0.203 0.608
O12 0.979 0.565 0.854
```

The value obtained for the electronic total energy is -7.2377 eV per atom.

---

# 3
The following is a DFT calculation (PBE-GGA) of an optimized crystal structure of Sr2PrAgO4.

Cell and atoms, written as CIF:
```
data_Sr2PrAgO4
_cell_length_a 6.188
_cell_length_b 3.665
_cell_length_c 6.274
_cell_angle_alpha 90.00
_cell_angle_beta 109.26
_cell_angle_gamma 90.00
_space_group_name_H-M_alt 'P 1'
_space_group_IT_number 1
loop_
_space_group_symop_operation_xyz
'x,y,z'
loop_
_atom_site_label
_atom_site_fract_x
_atom_site_fract_y
_atom_site_fract_z
Sr1 0.000 0.000 0.000
Sr2 0.500 0.500 0.000
Pr1 0.000 0.500 0.500
Ag1 0.500 0.000 0.500
O1 0.225 0.500 0.244
O2 0.227 0.000 0.742
O3 0.773 0.000 0.258
O4 0.775 0.500 0.756
```

The value obtained for the electronic total energy is -6.1606 eV per atom.

---

# 4
The following is a DFT calculation (PBE-GGA) of an optimized crystal structure of PrTcAgO5.

Cell and atoms, written as CIF:
```
data_PrTcAgO5
_cell_length_a 6.448
_cell_length_b 6.448
_cell_length_c 8.833
_cell_angle_alpha 109.98
_cell_angle_beta 109.98
_cell_angle_gamma 92.67
_space_group_name_H-M_alt 'P 1'
_space_group_IT_number 1
loop_
_space_group_symop_operation_xyz
'x,y,z'
loop_
_atom_site_label
_atom_site_fract_x
_atom_site_fract_y
_atom_site_fract_z
Pr1 0.000 0.000 0.000
Pr2 0.000 0.000 0.500
Tc1 0.359 0.641 0.750
Tc2 0.641 0.359 0.250
Ag1 0.299 0.701 0.250
Ag2 0.701 0.299 0.750
O1 0.072 0.928 0.250
O2 0.248 0.739 0.915
O3 0.261 0.752 0.585
O4 0.293 0.339 0.654
O5 0.339 0.293 0.154
O6 0.661 0.707 0.846
O7 0.707 0.661 0.346
O8 0.739 0.248 0.415
O9 0.752 0.261 0.085
O10 0.928 0.072 0.750
```

The value obtained for the electronic total energy is -6.9992 eV per atom.

---

# 5
The following is a DFT calculation (PBE-GGA) of an optimized crystal structure of Pr2TcAgO6.

Cell and atoms, written as CIF:
```
data_Pr2TcAgO6
_cell_length_a 5.415
_cell_length_b 5.415
_cell_length_c 5.372
_cell_angle_alpha 90.00
_cell_angle_beta 90.00
_cell_angle_gamma 90.00
_space_group_name_H-M_alt 'P 1'
_space_group_IT_number 1
loop_
_space_group_symop_operation_xyz
'x,y,z'
loop_
_atom_site_label
_atom_site_fract_x
_atom_site_fract_y
_atom_site_fract_z
Pr1 0.000 0.500 0.000
Pr2 0.500 0.000 0.000
Tc1 0.000 0.000 0.586
Ag1 0.500 0.500 0.505
O1 0.000 0.000 0.250
O2 0.228 0.228 0.745
O3 0.228 0.772 0.745
O4 0.500 0.500 0.107
O5 0.772 0.228 0.745
O6 0.772 0.772 0.745
```

The value obtained for the electronic total energy is -7.2121 eV per atom.

---

# 6
The following is a DFT calculation (PBE-GGA) of an optimized crystal structure of PrAg2TeO6.

Cell and atoms, written as CIF:
```
data_PrAg2TeO6
_cell_length_a 5.668
_cell_length_b 5.968
_cell_length_c 9.978
_cell_angle_alpha 90.00
_cell_angle_beta 123.61
_cell_angle_gamma 90.00
_space_group_name_H-M_alt 'P 1'
_space_group_IT_number 1
loop_
_space_group_symop_operation_xyz
'x,y,z'
loop_
_atom_site_label
_atom_site_fract_x
_atom_site_fract_y
_atom_site_fract_z
Pr1 0.000 0.000 0.000
Pr2 0.000 0.500 0.500
Ag1 0.246 0.059 0.733
Ag2 0.246 0.441 0.233
Ag3 0.754 0.559 0.767
Ag4 0.754 0.941 0.267
Te1 0.500 0.000 0.500
Te2 0.500 0.500 0.000
O1 0.156 0.070 0.283
O2 0.156 0.430 0.783
O3 0.283 0.686 0.053
O4 0.283 0.814 0.553
O5 0.410 0.241 0.084
O6 0.410 0.259 0.584
O7 0.590 0.741 0.416
O8 0.590 0.759 0.916
O9 0.717 0.186 0.447
O10 0.717 0.314 0.947
O11 0.844 0.570 0.217
O12 0.844 0.930 0.717
```

The value obtained for the electronic total energy is -5.5798 eV per atom.

---

# 7
The following is a DFT calculation (PBE-GGA) of an optimized crystal structure of Pr2TlAgO5.

Cell and atoms, written as CIF:
```
data_Pr2TlAgO5
_cell_length_a 7.308
_cell_length_b 7.308
_cell_length_c 11.521
_cell_angle_alpha 90.00
_cell_angle_beta 90.00
_cell_angle_gamma 151.92
_space_group_name_H-M_alt 'P 1'
_space_group_IT_number 1
loop_
_space_group_symop_operation_xyz
'x,y,z'
loop_
_atom_site_label
_atom_site_fract_x
_atom_site_fract_y
_atom_site_fract_z
Pr1 0.119 0.881 0.500
Pr2 0.132 0.868 0.971
Pr3 0.868 0.132 0.471
Pr4 0.881 0.119 0.000
Tl1 0.220 0.780 0.247
Tl2 0.780 0.220 0.747
Ag1 0.489 0.511 0.213
Ag2 0.511 0.489 0.713
O1 0.075 0.925 0.299
O2 0.276 0.724 0.608
O3 0.292 0.708 0.926
O4 0.358 0.642 0.327
O5 0.492 0.508 0.517
O6 0.508 0.492 0.017
O7 0.642 0.358 0.827
O8 0.708 0.292 0.426
O9 0.724 0.276 0.108
O10 0.925 0.075 0.799
```

The value obtained for the electronic total energy is -6.2657 eV per atom.